Record 1
Computed, not measured: a relaxed structure of BaSiPdAu2 at the GGA-PBE level of DFT.

DOS at the Fermi energy   1.44 states/eV per cell
Formation energy without anion corrections   -0.504 eV per atom

abc: 4.949 4.949 4.851
angles: 90.00 90.00 90.00
Space group P4/mmm (No. 123)
Asymmetric unit:
Ba: 0.000 0.000 0.000
Si: 0.500 0.500 0.500
Pd: 0.500 0.500 0.000
Au: 0.000 0.500 0.500

***

Record 2
Computed, not measured: a relaxed structure of BaSmPdAu at the GGA-PBE level of DFT.

DOS at the Fermi energy   15.04 states/eV per cell
Formation energy   -0.529 eV per atom

abc: 7.571 7.571 7.571
angles: 90.00 90.00 90.00
Space group F-43m (No. 216)
Asymmetric unit:
Ba: 0.000 0.000 0.000
Sm: 0.000 0.000 0.500
Pd: 0.250 0.250 0.250
Au: 0.250 0.250 0.750

***

Record 3
Computed, not measured: a relaxed structure of Ba2SnPdAu6 at the GGA-PBE level of DFT.

DOS at the Fermi energy   4.40 states/eV per cell
Formation energy   -0.472 eV per atom

abc: 5.771 7.295 7.425
angles: 78.85 67.15 66.78
Space group P-1 (No. 2)
Asymmetric unit:
Ba: 0.235 0.224 0.308
Sn: 0.000 0.000 0.000
Pd: 0.500 0.500 0.500
Au: 0.247 0.257 0.761
Au: 0.254 0.601 0.889
Au: 0.266 0.742 0.239

***

Record 4
Computed, not measured: a relaxed structure of BaSnPdAu at the GGA-PBE level of DFT.

DOS at the Fermi energy   6.32 states/eV per cell
Formation energy   -0.621 eV per atom

abc: 4.7367 4.7367 17.0430
angles: 90.00 90.00 120.00
Space group R3m (No. 160, hexagonal axes)
Asymmetric unit:
Ba: 0.0000 0.0000 0.0000
Sn: 0.0000 0.0000 0.5144
Pd: 0.0000 0.0000 0.1949
Au: 0.0000 0.0000 0.7990

***

Record 5
Computed, not measured: a relaxed structure of BaSnPd3Au at the GGA-PBE level of DFT.

DOS at the Fermi energy   6.05 states/eV per cell
Formation energy   -0.388 eV per atom

abc: 6.300 12.249 7.547
angles: 90.00 90.00 90.00
Space group Cmcm (No. 63)
Asymmetric unit:
Ba: 0.000 0.190 0.250
Sn: 0.000 0.116 0.750
Pd: 0.000 0.332 0.750
Pd: 0.221 0.000 0.000
Au: 0.000 0.441 0.250

***

Record 6
Computed, not measured: a relaxed structure of Ba2Sn3Pd4Au at the GGA-PBE level of DFT.

DOS at the Fermi energy   3.91 states/eV per cell
Formation energy   -0.661 eV per atom

abc: 4.760 4.760 10.892
angles: 90.00 90.00 90.00
Space group P-4m2 (No. 115)
Asymmetric unit:
Ba: 0.000 0.500 0.245
Sn: 0.000 0.000 0.000
Sn: 0.000 0.500 0.617
Pd: 0.000 0.000 0.500
Pd: 0.000 0.500 0.866
Pd: 0.500 0.500 0.500
Au: 0.500 0.500 0.000

***

Record 7
Computed, not measured: a relaxed structure of Ba2Sn3PdAu4 at the GGA-PBE level of DFT.

DOS at the Fermi energy   5.80 states/eV per cell
Formation energy   -0.555 eV per atom

abc: 4.836 4.836 11.141
angles: 90.00 90.00 90.00
Space group P-4m2 (No. 115)
Asymmetric unit:
Ba: 0.000 0.500 0.243
Sn: 0.000 0.000 0.000
Sn: 0.000 0.500 0.625
Pd: 0.500 0.500 0.000
Au: 0.000 0.000 0.500
Au: 0.000 0.500 0.872
Au: 0.500 0.500 0.500

***

Record 8
Computed, not measured: a relaxed structure of Ba2Sn4Pd3Au at the GGA-PBE level of DFT.

DOS at the Fermi energy   4.44 states/eV per cell
Formation energy   -0.684 eV per atom

abc: 4.788 4.788 11.091
angles: 90.00 90.00 90.00
Space group P-4m2 (No. 115)
Asymmetric unit:
Ba: 0.000 0.500 0.248
Sn: 0.000 0.000 0.500
Sn: 0.000 0.500 0.874
Sn: 0.500 0.500 0.500
Pd: 0.000 0.000 0.000
Pd: 0.000 0.500 0.626
Au: 0.500 0.500 0.000

***

Record 9
Computed, not measured: a relaxed structure of BaSrPdAu2 at the GGA-PBE level of DFT.

DOS at the Fermi energy   3.72 states/eV per cell
Formation energy   -0.331 eV per atom

abc: 5.419 5.419 5.203
angles: 90.00 90.00 90.00
Space group P4/mmm (No. 123)
Asymmetric unit:
Ba: 0.000 0.000 0.000
Sr: 0.500 0.500 0.000
Pd: 0.500 0.500 0.500
Au: 0.000 0.500 0.500

***

Record 10
Computed, not measured: a relaxed structure of Ba8TlPdAu2 at the GGA-PBE level of DFT.

DOS at the Fermi energy   10.71 states/eV per cell
Formation energy   -0.401 eV per atom

abc: 7.716 9.958 7.952
angles: 90.00 90.89 90.00
Space group P2/m (No. 10)
Asymmetric unit:
Ba: 0.224 0.000 0.340
Ba: 0.235 0.500 0.321
Ba: 0.272 0.272 0.827
Tl: 0.500 0.000 0.000
Pd: 0.500 0.500 0.000
Au: 0.000 0.254 0.500

***

Record 11
Computed, not measured: a relaxed structure of Ba3Tl2Pd2Au4 at the GGA-PBE level of DFT.

DOS at the Fermi energy   5.61 states/eV per cell
Formation energy   -0.489 eV per atom

abc: 4.8168 4.8168 16.2652
angles: 90.00 90.00 120.00
Space group P-3m1 (No. 164)
Asymmetric unit:
Ba: 0.0000 0.0000 0.0000
Ba: 0.0000 0.0000 0.2593
Tl: 0.3333 0.6667 0.5692
Pd: 0.3333 0.6667 0.1350
Au: 0.3333 0.6667 0.3859
Au: 0.3333 0.6667 0.8677

***

Record 12
Computed, not measured: a relaxed structure of Ba2TlPdAu at the GGA-PBE level of DFT.

DOS at the Fermi energy   3.74 states/eV per cell
Formation energy   -0.355 eV per atom

abc: 6.065 6.065 5.212
angles: 90.00 90.00 90.00
Space group P4/mmm (No. 123)
Asymmetric unit:
Ba: 0.000 0.500 0.000
Tl: 0.000 0.000 0.500
Pd: 0.000 0.000 0.000
Au: 0.500 0.500 0.500